Record 1
VASP calculation (PBE) on a geometry-optimized AlAg3Pb structure.

Cell: 4.931 4.931 4.931 Å, 90.00 90.00 90.00°
Fractional positions:
Pb: 0.500 0.500 0.500
Al: 0.000 0.000 0.000
Ag: 0.000 0.500 0.000
Ag: 0.000 0.000 0.500
Ag: 0.500 0.000 0.000

Summary:
Its offset from the most stable computed form is 0.0000 eV per atom. The theoretical density comes out at 7724 kg/m3. For the formation energy, the calculation gives 0.309 eV per atom. For the total energy, the calculation gives -14.46 eV for the cell shown.

---

Record 2
VASP calculation (PBE) on a geometry-optimized AlAgPb2 structure.

Cell: 6.270 6.270 6.270 Å, 148.74 128.42 61.56°
Fractional positions:
Pb: 0.022 0.022 0.000
Pb: 0.732 0.232 0.500
Al: 0.276 0.776 0.500
Ag: 0.470 0.470 0.000

Summary:
The theoretical density comes out at 9185 kg/m3. For the formation energy, the calculation gives 0.159 eV per atom. For the total energy, the calculation gives -13.38 eV for the cell shown.

---

Record 3
VASP calculation (PBE) on a geometry-optimized AlAg4Pb structure.

Cell: 5.592 5.592 5.592 Å, 60.00 60.00 60.00°
Fractional positions:
Al: 0.750 0.750 0.750
Ag: 0.874 0.375 0.375
Ag: 0.375 0.375 0.874
Ag: 0.375 0.874 0.375
Ag: 0.375 0.375 0.375
Pb: 0.000 0.000 0.000

Summary:
The theoretical density comes out at 8940 kg/m3. For the formation energy, the calculation gives 0.160 eV per atom. For the total energy, the calculation gives -17.89 eV for the cell shown.

---

Record 4
VASP calculation (PBE) on a geometry-optimized AlAg2Pb2 structure.

Cell: 8.131 8.131 3.808 Å, 90.00 90.00 90.00°
Fractional positions:
Pb: 0.327 0.827 0.000
Pb: 0.827 0.673 0.000
Pb: 0.673 0.173 0.000
Pb: 0.173 0.327 0.000
Al: 0.000 0.000 0.000
Al: 0.500 0.500 0.000
Ag: 0.125 0.625 0.500
Ag: 0.625 0.875 0.500
Ag: 0.875 0.375 0.500
Ag: 0.375 0.125 0.500

Summary:
Its offset from the most stable computed form is 0.1552 eV per atom. The theoretical density comes out at 8668 kg/m3. For the formation energy, the calculation gives 0.304 eV per atom. For the total energy, the calculation gives -30.68 eV for the cell shown.